[1]
The following is a GGA-PBE calculation of crystalline Be3CoSb at its relaxed geometry, from the Alexandria database.

The space group is Pm-3m (No. 221) and the conventional cell measures 4.0884, 4.0884 and 4.0884 Å, with angles of 90.00, 90.00 and 90.00 degrees. The distinct sites, in fractional coordinates, are Be at (0.0000, 0.0000, 0.5000), Co at (0.0000, 0.0000, 0.0000) and Sb at (0.5000, 0.5000, 0.5000).

Its uncorrected formation energy is 0.52 eV/atom. The value obtained for the total magnetic moment is 0.00 μB/f.u. The energy above the lowest structure with this stoichiometry is 0 meV per atom.

---

[2]
The following is a GGA-PBE calculation of crystalline Li4Nd3Sn4 at its relaxed geometry, from the Alexandria database.

The space group is Immm (No. 71) and the conventional cell measures 4.6966, 7.2327 and 15.4829 Å, with angles of 90.00, 90.00 and 90.00 degrees. The distinct sites, in fractional coordinates, are Li at (0.0000, 0.1887, 0.1720), Nd at (0.0000, 0.0000, 0.3706), Nd at (0.0000, 0.5000, 0.5000), Sn at (0.0000, 0.3014, 0.0000) and Sn at (0.0000, 0.5000, 0.2855).

The value obtained for the total magnetic moment is 0.00 μB/f.u. The value obtained for the formation energy is -652 meV per atom. The energy above the lowest structure with this stoichiometry is 0 meV per atom.

---

Looking at Fermi-level density of states for the records above, in order, we have 2.5; 6.3 states/eV per cell.